# RbTaTcGe2

A crystal of RbTaTcGe2 relaxed with PBEsol (meta-GGA SCAN, Alexandria via LeMat-Bulk).

Unit cell a=4.8893 b=5.0282 c=5.0282 alpha=90.00 beta=90.00 gamma=90.00
Sites, in units of the cell vectors:
Rb  0.0000  0.0000  0.0000
Ge  0.0000  0.5000  0.0000
Ge  0.0000  0.0000  0.5000
Ta  0.5000  0.0000  0.0000
Tc  0.5000  0.5000  0.5000

Calculated values
The density of states at the Fermi level comes out at 4.41 states/eV per cell. As for the final energy: -144.7 eV per cell.



# Rb3GeTe

A crystal of Rb3GeTe relaxed with PBEsol (meta-GGA SCAN, Alexandria via LeMat-Bulk).

Unit cell a=6.4403 b=6.4403 c=6.4403 alpha=90.00 beta=90.00 gamma=90.00
Sites, in units of the cell vectors:
Te  0.5000  0.5000  0.5000
Ge  0.0000  0.0000  0.0000
Rb  0.5000  0.0000  0.0000
Rb  0.0000  0.5000  0.0000
Rb  0.0000  0.0000  0.5000

Calculated values
Its uncorrected formation energy is -0.105 eV per atom. The density of states at the Fermi level comes out at 1.71 states/eV per cell. As for the final energy: -119.1 eV per cell.



# RbTiGe3

A crystal of RbTiGe3 relaxed with PBEsol (meta-GGA SCAN, Alexandria via LeMat-Bulk).

Unit cell a=4.9537 b=4.9537 c=4.9537 alpha=90.00 beta=90.00 gamma=90.00
Sites, in units of the cell vectors:
Ti  0.0000  0.0000  0.0000
Ge  0.0000  0.5000  0.0000
Ge  0.0000  0.0000  0.5000
Ge  0.5000  0.0000  0.0000
Rb  0.5000  0.5000  0.5000

Calculated values
The density of states at the Fermi level comes out at 1.68 states/eV per cell. As for the final energy: -94.2 eV per cell.



# RbTlGe3

A crystal of RbTlGe3 relaxed with PBEsol (meta-GGA SCAN, Alexandria via LeMat-Bulk).

Unit cell a=5.4540 b=5.4540 c=5.4540 alpha=90.00 beta=90.00 gamma=90.00
Sites, in units of the cell vectors:
Ge  0.0000  0.0000  0.5000
Ge  0.5000  0.0000  0.0000
Ge  0.0000  0.5000  0.0000
Tl  0.0000  0.0000  0.0000
Rb  0.5000  0.5000  0.5000

Calculated values
The density of states at the Fermi level comes out at 1.92 states/eV per cell. As for the final energy: -146.9 eV per cell.



# RbTl2Ge2

A crystal of RbTl2Ge2 relaxed with PBEsol (meta-GGA SCAN, Alexandria via LeMat-Bulk).

Unit cell a=5.1449 b=5.1449 c=6.4111 alpha=113.66 beta=113.66 gamma=90.00
Sites, in units of the cell vectors:
Tl  0.7500  0.2500  0.5000
Tl  0.2500  0.7500  0.5000
Ge  0.3816  0.3816  0.7632
Ge  0.6184  0.6184  0.2368
Rb  0.0000  0.0000  0.0000

Calculated values
The density of states at the Fermi level comes out at 1.27 states/eV per cell. As for the final energy: -204.0 eV per cell.



# RbZr3Ge

A crystal of RbZr3Ge relaxed with PBEsol (meta-GGA SCAN, Alexandria via LeMat-Bulk).

Unit cell a=4.9063 b=4.9063 c=4.9063 alpha=90.00 beta=90.00 gamma=90.00
Sites, in units of the cell vectors:
Zr  0.0000  0.0000  0.5000
Zr  0.0000  0.5000  0.0000
Zr  0.5000  0.0000  0.0000
Rb  0.0000  0.0000  0.0000
Ge  0.5000  0.5000  0.5000

Calculated values
The density of states at the Fermi level comes out at 3.26 states/eV per cell. As for the final energy: -121.6 eV per cell.